Ca2Ru2C3: relaxed, PBE.

The calculation puts the formation energy at 2 meV/atom. The spin magnetization comes out at 0.000 μB per cell. The electronic total energy comes out at -7.173 eV/atom.

a = 5.8378 Å, b = 5.9558 Å, c = 6.7544 Å
α = 90.00°, β = 119.65°, γ = 90.00°
Last column: nearest neighbours and their distance in Å.
Fractional coordinates of all 14 atoms:
Ca 0.1836 0.1143 0.4210  4 C 2.59-2.76
Ca 0.1836 0.3857 0.9210  4 C 2.59-2.76
Ca 0.8164 0.6143 0.0790  4 C 2.59-2.76
Ca 0.8164 0.8857 0.5790  4 C 2.59-2.76
Ru 0.3357 0.5976 0.5650  3 C 1.88-2.03
Ru 0.3357 0.9024 0.0650  3 C 1.88-2.03
Ru 0.6643 0.0976 0.9350  3 C 1.88-2.03
Ru 0.6643 0.4024 0.4350  3 C 1.88-2.03
C 0.0000 0.0000 0.0000  2 Ru 1.88
C 0.0000 0.5000 0.5000  2 Ru 1.88
C 0.3881 0.6669 0.2955  3 Ru 2.00-2.11
C 0.3881 0.8331 0.7955  3 Ru 2.00-2.11
C 0.6119 0.1669 0.2045  3 Ru 2.00-2.11
C 0.6119 0.3331 0.7045  3 Ru 2.00-2.11

---

SmTmGa4: relaxed, PBE.

The calculation puts the formation energy at -636 meV/atom. The spin magnetization comes out at 0.000 μB per cell. The electronic total energy comes out at -4.186 eV/atom. The calculation puts the energy above the most stable polymorph in this dataset at 0.000 eV/atom.

a = 4.2227 Å, b = 4.2227 Å, c = 8.2471 Å
α = 90.00°, β = 90.00°, γ = 120.00°
Last column: nearest neighbours and their distance in Å.
Fractional coordinates of all 6 atoms:
Sm 0.0000 0.0000 0.0000  12 Ga 3.23
Tm 0.0000 0.0000 0.5000  12 Ga 3.15
Ga 0.3333 0.6667 0.2578  3 Ga 2.44
Ga 0.3333 0.6667 0.7422  3 Ga 2.44
Ga 0.6667 0.3333 0.2578  3 Ga 2.44
Ga 0.6667 0.3333 0.7422  3 Ga 2.44

---

Na2ZnAu2: relaxed, PBE.

The calculation puts the formation energy at -310 meV/atom. The spin magnetization comes out at 0.000 μB per cell. The electronic total energy comes out at -2.403 eV/atom. The calculation puts the energy above the most stable polymorph in this dataset at 0.009 eV/atom.

a = 5.6212 Å, b = 5.6212 Å, c = 8.3099 Å
α = 100.55°, β = 100.55°, γ = 61.37°
Last column: nearest neighbours and their distance in Å.
Fractional coordinates of all 10 atoms:
Na 0.0237 0.2795 0.1551  6 Au 3.08-3.27, 2 Zn 3.29-3.30
Na 0.2795 0.0237 0.6551  6 Au 3.08-3.27, 2 Zn 3.29-3.30
Na 0.7205 0.9763 0.3449  6 Au 3.08-3.27, 2 Zn 3.29-3.30
Na 0.9763 0.7205 0.8449  6 Au 3.08-3.27, 2 Zn 3.29-3.30
Zn 0.3898 0.6102 0.2500  4 Au 2.60-2.63
Zn 0.6102 0.3898 0.7500  4 Au 2.60-2.63
Au 0.2373 0.5033 0.4934  2 Zn 2.60-2.63, 1 Au 2.71
Au 0.4967 0.7627 0.0066  2 Zn 2.60-2.63, 1 Au 2.71
Au 0.5033 0.2373 0.9934  2 Zn 2.60-2.63, 1 Au 2.71
Au 0.7627 0.4967 0.5066  2 Zn 2.60-2.63, 1 Au 2.71

---

Li3La: relaxed, PBE.

The calculation puts the formation energy at 74 meV/atom. The spin magnetization comes out at 0.007 μB per cell. The electronic total energy comes out at -2.593 eV/atom. The calculation puts the energy above the most stable polymorph in this dataset at 0.040 eV/atom.

a = 3.5010 Å, b = 3.5010 Å, c = 8.0189 Å
α = 90.00°, β = 90.00°, γ = 90.00°
Last column: nearest neighbours and their distance in Å.
Fractional coordinates of all 4 atoms:
Li 0.0000 0.0000 0.0000  8 Li 2.94
Li 0.5000 0.5000 0.1979  5 Li 2.94-3.17
Li 0.5000 0.5000 0.8021  5 Li 2.94-3.17
La 0.0000 0.0000 0.5000  8 Li 3.46, 4 La 3.50

---

ErCuAs: relaxed, PBE.

The calculation puts the formation energy at -862 meV/atom. The spin magnetization comes out at 0.000 μB per cell. The electronic total energy comes out at -5.298 eV/atom.

a = 4.0738 Å, b = 4.0738 Å, c = 3.9130 Å
α = 90.00°, β = 90.00°, γ = 120.00°
Last column: nearest neighbours and their distance in Å.
Fractional coordinates of all 3 atoms:
Er 0.0000 0.0000 0.0000  6 As 3.06, 6 Cu 3.06
Cu 0.3333 0.6667 0.5000  3 As 2.35
As 0.6667 0.3333 0.5000  3 Cu 2.35

---

TbHo2PaSe4: relaxed, PBE.

The spin magnetization comes out at 0.431 μB per cell. The electronic total energy comes out at -6.241 eV/atom. The calculation puts the raw formation energy at -1.5888 eV per atom.

a = 7.0477 Å, b = 4.0191 Å, c = 7.0937 Å
α = 90.00°, β = 108.81°, γ = 90.00°
Last column: nearest neighbours and their distance in Å.
Fractional coordinates of all 8 atoms:
Tb 0.0000 0.0000 0.0000  6 Se 2.89
Ho 0.0000 0.5000 0.5000  6 Se 2.85
Ho 0.5000 0.0000 0.5000  6 Se 2.86
Pa 0.5000 0.5000 0.0000  6 Se 2.90
Se 0.2470 0.0000 0.7445  3 Ho 2.85-2.86, 1 Tb 2.89, 2 Pa 2.90
Se 0.2508 0.5000 0.2544  3 Ho 2.85-2.86, 2 Tb 2.89, 1 Pa 2.90
Se 0.7492 0.5000 0.7456  3 Ho 2.85-2.86, 2 Tb 2.89, 1 Pa 2.90
Se 0.7530 0.0000 0.2555  3 Ho 2.85-2.86, 1 Tb 2.89, 2 Pa 2.90

---

How do the records compare in V? In the order shown, they have 204.1, 127.4, 225.2, 98.3, 56.2, 190.2 Å³ per cell.